First-principles (GGA-PBEsol) data for a relaxed Na2GaSb2 crystal, as listed in Alexandria.

The structure in extended XYZ format:
```
5
Lattice="-3.219 -0.637 2.729 0.669 -4.211 -0.195 6.251 2.937 4.721" Properties=species:S:1:pos:R:3 pbc="T T T"
Sb 2.822 -1.849 2.897
Sb 0.878 -0.062 4.359
Ga 0.000 0.000 0.000
Na 4.013 0.414 4.830
Na -0.313 -2.325 2.425
```

Formation energy (no corrections) in meV per atom: 94
Space group: No. 139
Total magnetic moment in μB per cell: 0.000